# 1
Density functional theory data (PBE-GGA) for crystalline Sm3HoP4 at its relaxed geometry.

Computed properties:
Formation energy   -1.58 eV/atom

a = 4.080 Å, b = 7.062 Å, c = 7.062 Å
α = 109.46°, β = 90.00°, γ = 90.00°
Positions (direct):
Sm  0.000  0.000  0.500
Sm  0.500  0.500  0.500
Sm  0.000  0.500  0.000
Ho  0.500  0.000  0.000
P  0.000  0.245  0.245
P  0.500  0.752  0.248
P  0.000  0.755  0.755
P  0.500  0.248  0.752

# 2
Density functional theory data (PBE-GGA) for crystalline AcPrPb2 at its relaxed geometry.

Computed properties:
Formation energy   -0.46 eV/atom

a = 5.391 Å, b = 5.391 Å, c = 6.433 Å
α = 65.23°, β = 65.23°, γ = 60.00°
Positions (direct):
Pb  0.744  0.744  0.768
Pb  0.256  0.256  0.232
Pr  0.000  0.000  0.000
Ac  0.500  0.500  0.500

# 3
Density functional theory data (PBE-GGA) for crystalline CeHgP2 at its relaxed geometry.

Computed properties:
Formation energy   -0.50 eV/atom

a = 4.383 Å, b = 4.383 Å, c = 7.831 Å
α = 73.75°, β = 73.75°, γ = 60.00°
Positions (direct):
P  0.108  0.108  0.676
P  0.892  0.892  0.324
Hg  0.000  0.000  0.000
Ce  0.500  0.500  0.500

# 4
Density functional theory data (PBE-GGA) for crystalline TbSm2Ho at its relaxed geometry.

Computed properties:
Formation energy   0.02 eV/atom

a = 5.730 Å, b = 12.625 Å, c = 7.312 Å
α = 90.00°, β = 90.00°, γ = 90.00°
Positions (direct):
Tb  0.943  0.667  0.250
Tb  0.443  0.333  0.750
Tb  0.443  0.833  0.750
Tb  0.943  0.167  0.250
Sm  0.443  0.084  0.000
Sm  0.443  0.584  0.500
Sm  0.943  0.916  0.000
Sm  0.943  0.416  0.500
Sm  0.943  0.416  0.001
Sm  0.443  0.584  0.999
Sm  0.443  0.084  0.501
Sm  0.943  0.916  0.499
Ho  0.943  0.667  0.750
Ho  0.443  0.833  0.250
Ho  0.943  0.167  0.750
Ho  0.443  0.333  0.250

# 5
Density functional theory data (PBE-GGA) for crystalline FeTcRu2 at its relaxed geometry.

Computed properties:
Formation energy   0.09 eV/atom

a = 4.608 Å, b = 4.608 Å, c = 4.608 Å
α = 131.32°, β = 131.32°, γ = 71.30°
Last column: magnetic moment on the atom in μB.
Positions (direct):
Fe  0.750  0.250  0.500  1.93
Ru  0.000  0.000  0.000  -0.15
Ru  0.500  0.500  0.000  -0.15
Tc  0.250  0.750  0.500  -0.17

# 6
Density functional theory data (PBE-GGA) for crystalline Ce3CdCo at its relaxed geometry.

Computed properties:
Formation energy   -0.12 eV/atom

a = 6.428 Å, b = 8.779 Å, c = 8.779 Å
α = 70.86°, β = 90.01°, γ = 90.01°
Last column: magnetic moment on the atom in μB.
Positions (direct):
Ce  0.519  0.350  0.861  0.13
Ce  0.981  0.139  0.650  0.13
Ce  0.481  0.650  0.139  0.13
Ce  0.019  0.861  0.350  0.13
Ce  0.019  0.650  0.139  0.13
Ce  0.481  0.861  0.350  0.13
Ce  0.981  0.350  0.861  0.13
Ce  0.519  0.139  0.650  0.13
Ce  0.500  0.282  0.282  0.38
Ce  0.000  0.718  0.718  0.38
Ce  0.500  0.718  0.718  0.38
Ce  0.000  0.282  0.282  0.38
Cd  0.250  0.008  0.992  0.00
Cd  0.750  0.992  0.008  0.00
Cd  0.250  0.494  0.506  0.00
Cd  0.750  0.506  0.494  0.00
Co  0.750  0.523  0.005  -0.06
Co  0.750  0.995  0.477  -0.06
Co  0.250  0.477  0.995  -0.06
Co  0.250  0.005  0.523  -0.06

# 7
Density functional theory data (PBE-GGA) for crystalline EuTh at its relaxed geometry.

Computed properties:
Formation energy   0.14 eV/atom

a = 3.639 Å, b = 7.574 Å, c = 5.150 Å
α = 90.00°, β = 90.00°, γ = 89.97°
Last column: magnetic moment on the atom in μB.
Positions (direct):
Eu  0.251  0.637  0.250  -6.92
Eu  0.749  0.363  0.750  -6.92
Th  0.250  0.102  0.250  0.01
Th  0.750  0.898  0.750  0.01

# 8
Density functional theory data (PBE-GGA) for crystalline NaGa2OsO8 at its relaxed geometry.

Computed properties:
E_form (uncorrected)   -1153.3 meV per atom

a = 4.862 Å, b = 4.340 Å, c = 6.312 Å
α = 90.00°, β = 90.00°, γ = 90.57°
Positions (direct):
Na  0.000  0.000  0.500
Ga  0.500  0.500  0.754
Ga  0.500  0.500  0.246
Os  0.000  0.000  0.000
O  0.154  0.754  0.205
O  0.667  0.739  0.000
O  0.846  0.246  0.205
O  0.846  0.246  0.795
O  0.333  0.261  0.000
O  0.154  0.754  0.795
O  0.558  0.758  0.500
O  0.442  0.242  0.500

# 9
Density functional theory data (PBE-GGA) for crystalline SiTc2W at its relaxed geometry.

Computed properties:
E_form (uncorrected)   78.7 meV per atom

a = 4.342 Å, b = 4.342 Å, c = 4.342 Å
α = 60.00°, β = 60.00°, γ = 60.00°
Positions (direct):
Si  0.500  0.500  0.500
Tc  0.000  0.000  0.000
Tc  0.250  0.250  0.250
W  0.750  0.750  0.750

# 10
Density functional theory data (PBE-GGA) for crystalline Ta2Ir5OsRu at its relaxed geometry.

Computed properties:
Formation energy   0.57 eV/atom

a = 7.187 Å, b = 7.187 Å, c = 7.669 Å
α = 117.94°, β = 117.94°, γ = 90.00°
Positions (direct):
Ta  0.121  0.379  0.000
Ta  0.621  0.121  0.000
Ta  0.379  0.879  0.000
Ta  0.879  0.621  0.000
Ir  0.934  0.434  0.286
Ir  0.648  0.148  0.714
Ir  0.066  0.566  0.714
Ir  0.148  0.066  0.714
Ir  0.566  0.648  0.714
Ir  0.852  0.934  0.286
Ir  0.434  0.352  0.286
Ir  0.352  0.852  0.286
Ir  0.500  0.500  0.000
Ir  0.000  0.000  0.000
Os  0.250  0.250  0.500
Os  0.750  0.750  0.500
Ru  0.250  0.750  0.500
Ru  0.750  0.250  0.500

# 11
Density functional theory data (PBE-GGA) for crystalline AlCu14Ge at its relaxed geometry.

Computed properties:
Formation energy   -0.02 eV/atom

a = 5.188 Å, b = 5.188 Å, c = 8.359 Å
α = 90.00°, β = 90.00°, γ = 118.56°
Positions (direct):
Al  0.045  0.955  0.500
Cu  0.205  0.795  0.000
Cu  0.704  0.296  0.000
Cu  0.044  0.454  0.500
Cu  0.204  0.296  0.000
Cu  0.546  0.956  0.500
Cu  0.704  0.796  0.000
Cu  0.373  0.121  0.754
Cu  0.373  0.121  0.246
Cu  0.879  0.627  0.754
Cu  0.879  0.627  0.246
Cu  0.374  0.626  0.753
Cu  0.374  0.626  0.247
Cu  0.875  0.125  0.753
Cu  0.875  0.125  0.247
Ge  0.546  0.454  0.500

# 12
Density functional theory data (PBE-GGA) for crystalline Li2Sn8Rh at its relaxed geometry.

Computed properties:
Formation energy   -0.18 eV/atom

a = 4.343 Å, b = 6.164 Å, c = 10.685 Å
α = 107.09°, β = 101.72°, γ = 90.00°
Positions (direct):
Li  0.791  0.180  0.581
Li  0.209  0.820  0.419
Sn  0.394  0.595  0.787
Sn  0.628  0.928  0.256
Sn  0.792  0.676  0.583
Sn  0.981  0.245  0.962
Sn  0.208  0.324  0.417
Sn  0.372  0.072  0.744
Sn  0.606  0.405  0.213
Sn  0.019  0.755  0.038
Rh  0.500  0.000  0.000

Raw total energy values (in eV per atom) by entry order: -6.6250 -4.5402 -4.7617 -4.6409 -9.2501 -5.2827 -8.7052 -6.0090 -9.6984 -9.2646 -4.1244 -4.1086.